This record from the Alexandria database describes crystalline GaFeIr3 at its relaxed geometry. The functional is PBE.

The structure belongs to space group Pm-3m (No. 221); the cell edges are 4.450, 4.450 and 4.450 Å and the angles 90.00°, 90.00° and 90.00°. The inequivalent atoms are Ga at (0.000, 0.000, 0.000), Fe at (0.500, 0.500, 0.500) and Ir at (0.000, 0.500, 0.500).

The density is 13.236 g/cm³. The energy relative to the elements comes out at 1297 meV per atom. As for the density of states at the Fermi level: 7.14 states/eV per cell.